Record 1
Computed, not measured: a relaxed structure of Pm2NdHg5 at the PBE level of DFT.

Properties
density of states at the Fermi level	0.646	states/eV per atom
energy relative to the elements	-43	kJ per mole of atoms
calculated total energy	-2.4148	eV/atom
symmetry	No. 139

Cell lengths 8.3975, 8.3975, 8.3975 Å; angles 143.16, 143.16, 53.08 degrees
Fractional coordinates of all 8 atoms:
Pm (0.2319, 0.2319, 0.0000)
Pm (0.7681, 0.7681, 0.0000)
Nd (0.5000, 0.5000, 0.0000)
Hg (0.0000, 0.0000, 0.0000)
Hg (0.1230, 0.6230, 0.5000)
Hg (0.3770, 0.8770, 0.5000)
Hg (0.6230, 0.1230, 0.5000)
Hg (0.8770, 0.3770, 0.5000)

***

Record 2
Computed, not measured: a relaxed structure of BaYTeRu2 at the PBE level of DFT.

Properties
energy relative to the elements, uncorrected	13.23	kcal/mol of atoms
density of states at the Fermi level	1.282	states/eV per atom
calculated total energy	-5.4425	eV/atom
symmetry	No. 123

Cell lengths 5.0384, 5.0384, 5.5149 Å; angles 90.00, 90.00, 90.00 degrees
Fractional coordinates of all 5 atoms:
Ba (0.0000, 0.0000, 0.0000)
Y (0.5000, 0.5000, 0.0000)
Te (0.5000, 0.5000, 0.5000)
Ru (0.0000, 0.5000, 0.5000)
Ru (0.5000, 0.0000, 0.5000)

***

Record 3
Computed, not measured: a relaxed structure of Th2PaP3 at the PBE level of DFT.

Properties
density of states at the Fermi level	0.655	states/eV per atom
energy relative to the elements	-142	kJ per mole of atoms
calculated total energy	-8.2290	eV/atom
symmetry	No. 70

Cell lengths 13.5442, 12.9126, 7.0718 Å; angles 79.49, 69.62, 30.89 degrees
Fractional coordinates of all 24 atoms:
Th (0.0429, 0.0429, 0.2071)
Th (0.1237, 0.1237, 0.6263)
Th (0.2071, 0.2071, 0.0429)
Th (0.3737, 0.3737, 0.8763)
Th (0.6263, 0.6263, 0.1237)
Th (0.7929, 0.7929, 0.9571)
Th (0.8763, 0.8763, 0.3737)
Th (0.9571, 0.9571, 0.7929)
Pa (0.2916, 0.2916, 0.4584)
Pa (0.4584, 0.4584, 0.2916)
Pa (0.5416, 0.5416, 0.7084)
Pa (0.7084, 0.7084, 0.5416)
P (0.0390, 0.5405, 0.2205)
P (0.1361, 0.6139, 0.6139)
P (0.2205, 0.7000, 0.0390)
P (0.3000, 0.7795, 0.4595)
P (0.3861, 0.8639, 0.8639)
P (0.4595, 0.9610, 0.3000)
P (0.5405, 0.0390, 0.7000)
P (0.6139, 0.1361, 0.1361)
P (0.7000, 0.2205, 0.5405)
P (0.7795, 0.3000, 0.9610)
P (0.8639, 0.3861, 0.3861)
P (0.9610, 0.4595, 0.7795)

***

Record 4
Computed, not measured: a relaxed structure of Li3HO at the PBE level of DFT.

Properties
energy relative to the lowest polymorph listed for this composition	0.0	meV per atom
density of states at the Fermi level	0.000	states/eV per atom
calculated total energy	-3.9934	eV/atom
symmetry	No. 59

Cell lengths 3.0906, 4.9261, 6.1862 Å; angles 90.00, 90.00, 90.00 degrees
Fractional coordinates of all 10 atoms:
Li (0.2500, 0.0092, 0.1342)
Li (0.2500, 0.4908, 0.1342)
Li (0.2500, 0.7500, 0.5823)
Li (0.7500, 0.2500, 0.4177)
Li (0.7500, 0.5092, 0.8658)
Li (0.7500, 0.9908, 0.8658)
H (0.2500, 0.2500, 0.5891)
H (0.7500, 0.7500, 0.4109)
O (0.2500, 0.7500, 0.8906)
O (0.7500, 0.2500, 0.1094)

***

Record 5
Computed, not measured: a relaxed structure of OsC2F at the PBE level of DFT.

Properties
energy relative to the lowest polymorph listed for this composition	0.0	meV per atom
energy relative to the elements, uncorrected	24.00	kcal/mol of atoms
density of states at the Fermi level	0.538	states/eV per atom
calculated total energy	-6.8463	eV/atom
symmetry	No. 122

Cell lengths 5.7635, 5.7635, 5.7635 Å; angles 129.73, 129.73, 73.83 degrees
Fractional coordinates of all 8 atoms:
Os (0.0000, 0.0000, 0.0000)
Os (0.7500, 0.2500, 0.5000)
C (0.0488, 0.6250, 0.9238)
C (0.3750, 0.2988, 0.4238)
C (0.7012, 0.1250, 0.0762)
C (0.8750, 0.9512, 0.5762)
F (0.2500, 0.7500, 0.5000)
F (0.5000, 0.5000, 0.0000)

***

Record 6
Computed, not measured: a relaxed structure of SmHo2Ga at the PBE level of DFT.

Properties
energy relative to the lowest polymorph listed for this composition	51.1	meV per atom
density of states at the Fermi level	1.464	states/eV per atom
energy relative to the elements	-23	kJ per mole of atoms
calculated total energy	-4.4600	eV/atom
symmetry	No. 123

Cell lengths 4.7471, 4.7471, 4.7204 Å; angles 90.00, 90.00, 90.00 degrees
Fractional coordinates of all 4 atoms:
Sm (0.0000, 0.0000, 0.0000)
Ho (0.0000, 0.5000, 0.5000)
Ho (0.5000, 0.0000, 0.5000)
Ga (0.5000, 0.5000, 0.0000)

***

Table of theoretical density (g cm⁻³), in record order: 11.280, 6.594, 9.064, 1.334, 7.013, 8.585